## CeLuGaOs (PBE-GGA)

Data for a relaxed structure of CeLuGaOs.

For the density of states at the Fermi level, the calculation gives 3.97 states/eV/f.u. The energy of formation from the pure elements is -0.334 eV/atom. The total energy is -6.512 eV per atom.

The space group is F-43m (No. 216) and the conventional cell measures 6.961, 6.961 and 6.961 Å, with angles of 90.00, 90.00 and 90.00 degrees. The distinct sites, in fractional coordinates, are Ce at (0.000, 0.000, 0.000), Lu at (0.000, 0.000, 0.500), Ga at (0.250, 0.250, 0.250) and Os at (0.250, 0.250, 0.750).